Below is crystalline LiPaNO at its relaxed geometry, with properties calculated at the PBE level.

As for the raw total energy: -7.411 eV per atom. Its energy above the lowest structure with this stoichiometry is 222 meV per atom. The calculation puts the total magnetization at 1.0 μB per formula unit.

The space group is Cmme (No. 67) and the conventional cell measures 5.0118, 5.0241 and 7.8370 Å, with angles of 90.00, 90.00 and 90.00 degrees. The distinct sites, in fractional coordinates, are Li at (0.2500, 0.0000, 0.0000), Pa at (0.0000, 0.2500, 0.3086), N at (0.0000, 0.2500, 0.8366) and O at (0.2500, 0.0000, 0.5000).